1.
# Ca2BHO

A relaxed structure of Ca2BHO (PBE, Alexandria via LeMat-Bulk).

Results
- SG: P4/mmm

a b c (Å): 4.5743 4.5743 3.1038
angles (deg): 90.00 90.00 90.00
With the nearest neighbours (Å) after each atom.
Fractional coordinates of all 5 atoms:
Ca: 0.0000 0.5000 0.0000  2 H 2.29
Ca: 0.5000 0.0000 0.0000  2 H 2.29
B: 0.0000 0.0000 0.5000  2 H 1.55
H: 0.0000 0.0000 0.0000  2 B 1.55
O: 0.5000 0.5000 0.5000  8 Ca 2.76

2.
# AcBi3Pb3

A relaxed structure of AcBi3Pb3 (PBE, Alexandria via LeMat-Bulk).

Results
- SG: C2/m
- Energy relative to the lowest polymorph listed for this composition: 0.0000 eV per atom

a b c (Å): 7.1687 7.1687 9.6643
angles (deg): 90.01 90.01 90.48
With the nearest neighbours (Å) after each atom.
Fractional coordinates of all 14 atoms:
Ac: 0.2466 0.2466 0.4992  6 Bi 3.54-3.61, 4 Pb 3.56-3.61
Ac: 0.7534 0.7534 0.5008  6 Bi 3.54-3.61, 4 Pb 3.56-3.61
Bi: 0.0006 0.4996 0.7552  6 Pb 3.46-3.53, 2 Ac 3.54-3.55, 2 Bi 3.58-3.59
Bi: 0.4996 0.0006 0.7552  6 Pb 3.46-3.53, 2 Ac 3.54-3.55, 2 Bi 3.58-3.59
Bi: 0.5004 0.5004 0.2370  6 Pb 3.43-3.59, 4 Bi 3.58-3.59, 2 Ac 3.60-3.61
Bi: 0.4996 0.4996 0.7630  6 Pb 3.43-3.59, 4 Bi 3.58-3.59, 2 Ac 3.60-3.61
Bi: 0.5004 0.9994 0.2448  6 Pb 3.46-3.53, 2 Ac 3.54-3.55, 2 Bi 3.58-3.59
Bi: 0.9994 0.5004 0.2448  6 Pb 3.46-3.53, 2 Ac 3.54-3.55, 2 Bi 3.58-3.59
Pb: 0.2384 0.7616 0.0000  6 Bi 3.46-3.51, 4 Pb 3.47-3.70
Pb: 0.2463 0.2463 0.0001  6 Bi 3.43-3.48, 4 Pb 3.47-3.70
Pb: 0.2503 0.7497 0.5000  6 Bi 3.53-3.59, 4 Ac 3.56-3.61
Pb: 0.7497 0.2503 0.5000  6 Bi 3.53-3.59, 4 Ac 3.56-3.61
Pb: 0.7537 0.7537 0.9999  6 Bi 3.43-3.48, 4 Pb 3.47-3.70
Pb: 0.7616 0.2384 0.0000  6 Bi 3.46-3.51, 4 Pb 3.47-3.70

3.
# OsRu2Rh4

A relaxed structure of OsRu2Rh4 (PBE, Alexandria via LeMat-Bulk).

Results
- SG: P-1
- Energy relative to the lowest polymorph listed for this composition: 0.0000 eV per atom

a b c (Å): 5.2890 5.3313 9.1809
angles (deg): 84.23 73.34 60.29
With the nearest neighbours (Å) after each atom.
Fractional coordinates of all 14 atoms:
Os: 0.0000 0.0000 0.0000  6 Rh 2.61-2.69, 2 Os 2.64, 2 Ru 2.67
Os: 0.5000 0.0000 0.0000  6 Rh 2.61-2.69, 2 Os 2.64, 2 Ru 2.67
Ru: 0.0000 0.0000 0.5000  6 Rh 2.60-2.78, 2 Ru 2.67
Ru: 0.2879 0.4224 0.4998  3 Rh 2.44-2.62, 2 Ru 2.67-2.73
Ru: 0.5000 0.5000 0.0000  6 Rh 2.62-2.75, 4 Os 2.67
Ru: 0.7121 0.5776 0.5002  3 Rh 2.44-2.62, 2 Ru 2.67-2.73
Rh: 0.0194 0.7124 0.2577  6 Rh 2.60-2.73, 4 Ru 2.62-2.88, 1 Os 2.69
Rh: 0.0227 0.2213 0.2343  2 Ru 2.60-2.79, 2 Os 2.61, 6 Rh 2.64-2.71
Rh: 0.4684 0.8053 0.7566  2 Ru 2.44-2.62, 6 Rh 2.61-2.73, 2 Os 2.64
Rh: 0.4894 0.2873 0.7419  6 Rh 2.60-2.72, 4 Ru 2.62-2.88, 1 Os 2.69
Rh: 0.5106 0.7127 0.2581  6 Rh 2.60-2.72, 4 Ru 2.62-2.88, 1 Os 2.69
Rh: 0.5316 0.1947 0.2434  2 Ru 2.44-2.62, 6 Rh 2.61-2.73, 2 Os 2.64
Rh: 0.9773 0.7787 0.7657  2 Ru 2.60-2.79, 2 Os 2.61, 6 Rh 2.64-2.71
Rh: 0.9806 0.2876 0.7423  6 Rh 2.60-2.73, 4 Ru 2.62-2.88, 1 Os 2.69

4.
# NbTl2Ru

A relaxed structure of NbTl2Ru (PBE, Alexandria via LeMat-Bulk).

Results
- SG: Fm-3m
- Energy relative to the lowest polymorph listed for this composition: 0.0000 eV per atom

a b c (Å): 4.7802 4.7802 4.7802
angles (deg): 60.00 60.00 60.00
With the nearest neighbours (Å) after each atom.
Fractional coordinates of all 4 atoms:
Nb: 0.0000 0.0000 0.0000  8 Tl 2.93
Tl: 0.2500 0.2500 0.2500  4 Nb 2.93, 4 Ru 2.93
Tl: 0.7500 0.7500 0.7500  4 Nb 2.93, 4 Ru 2.93
Ru: 0.5000 0.5000 0.5000  8 Tl 2.93

5.
# MnBe2Cl

A relaxed structure of MnBe2Cl (PBE, Alexandria via LeMat-Bulk).

Results
- SG: F-43m
- Energy relative to the lowest polymorph listed for this composition: 0.7483 eV per atom
- ΔE_f (raw): 819 meV/atom

a b c (Å): 4.1015 4.1015 4.1015
angles (deg): 60.00 60.00 60.00
With the nearest neighbours (Å) after each atom.
Fractional coordinates of all 4 atoms:
Mn: 0.0000 0.0000 0.0000  4 Cl 2.51, 4 Be 2.51
Be: 0.2500 0.2500 0.2500  4 Mn 2.51, 4 Be 2.51
Be: 0.5000 0.5000 0.5000  4 Cl 2.51, 4 Be 2.51
Cl: 0.7500 0.7500 0.7500  4 Mn 2.51, 4 Be 2.51

6.
# GdHo2Te

A relaxed structure of GdHo2Te (PBE, Alexandria via LeMat-Bulk).

Results
- SG: R-3m
- Energy relative to the lowest polymorph listed for this composition: 0.3044 eV per atom
- ΔE_f (raw): -241 meV/atom

a b c (Å): 10.8948 10.8948 10.8948
angles (deg): 20.15 20.15 20.15
With the nearest neighbours (Å) after each atom.
Fractional coordinates of all 4 atoms:
Gd: 0.0000 0.0000 0.0000  2 Ho 3.26
Ho: 0.1020 0.1020 0.1020  3 Te 3.02, 1 Gd 3.26
Ho: 0.8980 0.8980 0.8980  3 Te 3.02, 1 Gd 3.26
Te: 0.5000 0.5000 0.5000  6 Ho 3.02

7.
# ZrTaCl2

A relaxed structure of ZrTaCl2 (PBE, Alexandria via LeMat-Bulk).

Results
- SG: Cmmm
- Energy relative to the lowest polymorph listed for this composition: 1.1716 eV per atom
- ΔE_f (raw): 294 meV/atom

a b c (Å): 4.8992 4.8992 3.0288
angles (deg): 90.00 90.00 103.93
With the nearest neighbours (Å) after each atom.
Fractional coordinates of all 4 atoms:
Zr: 0.0000 0.0000 0.0000  8 Cl 2.88, 2 Ta 3.02, 2 Zr 3.03
Ta: 0.5000 0.5000 0.0000  8 Cl 2.88, 2 Zr 3.02, 2 Ta 3.03
Cl: 0.0000 0.5000 0.5000  4 Zr 2.88, 4 Ta 2.88, 4 Cl 3.02-3.03
Cl: 0.5000 0.0000 0.5000  4 Zr 2.88, 4 Ta 2.88, 4 Cl 3.02-3.03

8.
# Tb2Pr2Sm2Y

A relaxed structure of Tb2Pr2Sm2Y (PBE, Alexandria via LeMat-Bulk).

Results
- SG: R-3m

a b c (Å): 8.8995 8.8995 8.8995
angles (deg): 37.81 37.81 37.81
With the nearest neighbours (Å) after each atom.
Fractional coordinates of all 7 atoms:
Tb: 0.0740 0.0740 0.0740  4 Sm 3.49-3.54, 3 Pr 3.52, 1 Tb 3.66
Tb: 0.9260 0.9260 0.9260  4 Sm 3.49-3.54, 3 Pr 3.52, 1 Tb 3.66
Pr: 0.3614 0.3614 0.3614  1 Y 3.43, 3 Tb 3.52, 1 Sm 3.57, 3 Pr 3.61
Pr: 0.6386 0.6386 0.6386  1 Y 3.43, 3 Tb 3.52, 1 Sm 3.57, 3 Pr 3.61
Sm: 0.2171 0.2171 0.2171  4 Tb 3.49-3.54, 3 Y 3.56, 1 Pr 3.57
Sm: 0.7829 0.7829 0.7829  4 Tb 3.49-3.54, 3 Y 3.56, 1 Pr 3.57
Y: 0.5000 0.5000 0.5000  2 Pr 3.43, 6 Sm 3.56

Results for final energy: -21.2 -56.4 -112.6 -21.5 -15.2 -27.3 -22.9 -33.8 (in eV/cell, following the order of the records).